[1]
A plane-wave DFT calculation with PBE was carried out for a geometry-optimized Nd8Dy3In structure.

Calculated values
- Space group: I-42m (121)
- Raw total energy: -4.118 eV per atom
- ρ: 6.6 g cm⁻³
- Energy of formation from the pure elements: 42.4 kJ/mol of atoms

abc: 8.472 8.472 8.472
angles: 93.58 117.95 117.95
Element x y z (fractional)
1 Nd 0.000 0.237 0.728
2 Nd 0.255 0.380 0.380
3 Nd 0.000 0.728 0.237
4 Nd 0.000 0.875 0.620
5 Nd 0.491 0.763 0.763
6 Nd 0.000 0.620 0.875
7 Nd 0.509 0.272 0.272
8 Nd 0.745 0.125 0.125
9 Dy 0.000 0.500 0.500
10 Dy 0.500 0.750 0.250
11 Dy 0.500 0.250 0.750
12 In 0.000 0.000 0.000

[2]
A plane-wave DFT calculation with PBE was carried out for a geometry-optimized MnMo2Pt structure.

Calculated values
- Space group: Cmm2 (35)
- Raw total energy: -9.251 eV per atom
- ρ: 12.3 g cm⁻³
- Energy of formation from the pure elements: -3.2 kJ/mol of atoms

abc: 2.698 2.698 8.333
angles: 90.00 90.00 99.11
Last column: magnetic moment on the atom in μB.
Element x y z (fractional)
1 Pt 0.000 0.000 0.509  0.03
2 Mo 0.500 0.500 0.256  -0.05
3 Mo 0.000 0.000 0.987  -0.20
4 Mn 0.500 0.500 0.748  2.56

[3]
A plane-wave DFT calculation with PBE was carried out for a geometry-optimized YSe4 structure.

Calculated values
- Uncorrected formation energy: 0.003 eV/atom
- Space group: Pm-3m (221)
- Raw total energy: -4.078 eV per atom
- ρ: 4.0 g cm⁻³

abc: 5.495 5.495 5.495
angles: 90.00 90.00 90.00
Last column: magnetic moment on the atom in μB.
Element x y z (fractional)
1 Se 0.000 0.000 0.000  1.14
2 Se 0.000 0.500 0.500  0.18
3 Se 0.500 0.000 0.500  0.18
4 Se 0.500 0.500 0.000  0.18
5 Y 0.500 0.500 0.500  0.01

[4]
A plane-wave DFT calculation with PBE was carried out for a geometry-optimized TaZnS2Cl structure.

Calculated values
- Uncorrected formation energy: -0.359 eV/atom
- Space group: P4/mmm (123)
- Raw total energy: -5.005 eV per atom
- ρ: 5.1 g cm⁻³

abc: 4.794 4.794 4.935
angles: 90.00 90.00 90.00
Element x y z (fractional)
1 Ta 0.000 0.000 0.000
2 Zn 0.500 0.500 0.500
3 Cl 0.000 0.000 0.500
4 S 0.000 0.500 0.000
5 S 0.500 0.000 0.000

[5]
A plane-wave DFT calculation with PBE was carried out for a geometry-optimized YTm7Cd4 structure.

Calculated values
- Space group: P-1 (2)
- Raw total energy: -3.553 eV per atom
- ρ: 8.7 g cm⁻³
- Energy of formation from the pure elements: -9.8 kJ/mol of atoms

abc: 6.443 8.998 9.944
angles: 62.80 39.80 66.31
Element x y z (fractional)
1 Tm 0.042 0.629 0.296
2 Tm 0.958 0.371 0.704
3 Tm 0.773 0.963 0.495
4 Tm 0.738 0.350 0.182
5 Tm 0.262 0.650 0.818
6 Tm 0.227 0.037 0.505
7 Tm 0.500 0.000 0.000
8 Cd 0.268 0.309 0.166
9 Cd 0.451 0.685 0.358
10 Cd 0.732 0.691 0.834
11 Cd 0.549 0.315 0.642
12 Y 0.000 0.000 0.000

[6]
A plane-wave DFT calculation with PBE was carried out for a geometry-optimized ZnCu2Sb structure.

Calculated values
- Uncorrected formation energy: 0.116 eV/atom
- Space group: C2/m (12)
- Raw total energy: -3.281 eV per atom
- ρ: 7.8 g cm⁻³

abc: 4.385 4.385 5.205
angles: 80.04 80.04 42.93
Element x y z (fractional)
1 Cu 0.492 0.492 0.551
2 Cu 0.008 0.008 0.949
3 Sb 0.250 0.250 0.250
4 Zn 0.750 0.750 0.750